## Co3O (PBE with a Hubbard U)

Data for Co3O after structural relaxation.

Results
M_tot (μB/f.u.): 6.9
Energy above the lowest structure with this stoichiometry (eV per atom): 0.0000

Geometry as extended XYZ:
```
4
Lattice="3.527 0.000 0.000 0.000 3.527 0.000 0.000 0.000 3.527" Properties=species:S:1:pos:R:3 pbc="T T T"
Co 0.000 0.000 1.764
Co 0.000 1.764 0.000
Co 1.764 0.000 0.000
O 1.764 1.764 1.764
```